Compound: LiTa2TiRe
Source: Alexandria
Functional: SCAN
Structure: PBEsol geometry

a = 4.765 Å, b = 4.840 Å, c = 4.840 Å
α = 90.00°, β = 90.00°, γ = 90.00°
Site moments in Bohr magnetons follow the coordinates.
Element x y z (fractional)
Ta: 0.000 0.000 0.500  0.02
Ta: 0.000 0.500 0.000  0.02
Li: 0.500 0.500 0.500  0.00
Ti: 0.500 0.000 0.000  0.33
Re: 0.000 0.000 0.000  -0.03

Results
crystal system: tetragonal
calculated total energy: -43.54 eV per atom
symmetry: P4/mmm

***

Compound: LiRe2Tc
Source: Alexandria
Functional: SCAN
Structure: PBEsol geometry

a = 2.677 Å, b = 3.956 Å, c = 5.169 Å
α = 90.00°, β = 90.00°, γ = 90.00°
Element x y z (fractional)
Re: 0.000 0.000 0.258
Re: 0.000 0.000 0.742
Tc: 0.500 0.500 0.000
Li: 0.500 0.500 0.500

Results
crystal system: orthorhombic
distance to the lowest polymorph of the same formula: 14.21 kJ/mol of atoms
symmetry: Pmmm

***

Compound: LiRe2Tc
Source: Alexandria
Functional: SCAN
Structure: PBEsol geometry

a = 4.256 Å, b = 4.256 Å, c = 4.256 Å
α = 60.00°, β = 60.00°, γ = 60.00°
Element x y z (fractional)
Re: 0.750 0.750 0.750
Re: 0.000 0.000 0.000
Li: 0.250 0.250 0.250
Tc: 0.500 0.500 0.500

Results
crystal system: cubic
distance to the lowest polymorph of the same formula: 0.00 kJ/mol of atoms
symmetry: F-43m

***

Compound: LiReTc
Source: Alexandria
Functional: SCAN
Structure: PBEsol geometry

a = 2.720 Å, b = 2.720 Å, c = 6.830 Å
α = 90.00°, β = 90.00°, γ = 120.00°
Element x y z (fractional)
Re: 0.333 0.667 0.651
Tc: 0.667 0.333 0.349
Li: 0.000 0.000 0.000

Results
crystal system: trigonal
calculated total energy: -36.03 eV per atom
symmetry: P3m1

***

Compound: Li2ReTc
Source: Alexandria
Functional: SCAN
Structure: PBEsol geometry

a = 2.482 Å, b = 4.559 Å, c = 5.221 Å
α = 92.01°, β = 90.00°, γ = 105.80°
Element x y z (fractional)
Re: 0.497 0.993 0.526
Li: 0.998 0.995 0.017
Li: 0.753 0.506 0.235
Tc: 0.253 0.506 0.722

Results
crystal system: monoclinic
calculated total energy: -27.53 eV per atom
symmetry: Cm

***

Compound: LiRe2Tc
Source: Alexandria
Functional: SCAN
Structure: PBEsol geometry

a = 2.593 Å, b = 4.255 Å, c = 5.069 Å
α = 90.00°, β = 99.28°, γ = 90.00°
Element x y z (fractional)
Re: 0.745 0.500 0.248
Re: 0.980 0.000 0.991
Tc: 0.522 0.000 0.515
Li: 0.253 0.500 0.747

Results
crystal system: monoclinic
distance to the lowest polymorph of the same formula: 1.57 kJ/mol of atoms
symmetry: Pm

***

Compound: LiRe2Te
Source: Alexandria
Functional: SCAN
Structure: PBEsol geometry

a = 3.840 Å, b = 3.840 Å, c = 9.690 Å
α = 101.43°, β = 101.43°, γ = 90.00°
Element x y z (fractional)
Te: 0.250 0.750 0.500
Te: 0.000 0.000 0.000
Re: 0.433 0.875 0.250
Re: 0.625 0.567 0.750
Re: 0.125 0.183 0.750
Re: 0.817 0.375 0.250
Li: 0.500 0.500 0.000
Li: 0.750 0.250 0.500

Results
crystal system: tetragonal
uncorrected formation energy: 0.603 eV per atom
symmetry: I-42d

***

Compound: LiRe2Te2
Source: Alexandria
Functional: SCAN
Structure: PBEsol geometry

a = 4.964 Å, b = 5.652 Å, c = 4.964 Å
α = 63.95°, β = 90.00°, γ = 116.05°
Site moments in Bohr magnetons follow the coordinates.
Element x y z (fractional)
Te: 0.250 0.500 0.250  0.00
Te: 0.750 0.500 0.750  0.00
Re: 0.629 0.258 0.371  0.26
Re: 0.371 0.742 0.629  0.26
Li: 0.000 0.000 0.000  0.01

Results
crystal system: tetragonal
uncorrected formation energy: 0.433 eV per atom
symmetry: I4/mmm

***

Compound: LiTlRe3
Source: Alexandria
Functional: SCAN
Structure: PBEsol geometry

a = 4.213 Å, b = 4.213 Å, c = 4.213 Å
α = 90.00°, β = 90.00°, γ = 90.00°
Element x y z (fractional)
Li: 0.000 0.000 0.000
Tl: 0.500 0.500 0.500
Re: 0.500 0.000 0.000
Re: 0.000 0.500 0.000
Re: 0.000 0.000 0.500

Results
crystal system: cubic
calculated total energy: -55.87 eV per atom
symmetry: Pm-3m

***

Compound: Li2TlRe
Source: Alexandria
Functional: SCAN
Structure: PBEsol geometry

a = 2.803 Å, b = 4.614 Å, c = 5.339 Å
α = 115.60°, β = 105.22°, γ = 90.00°
Element x y z (fractional)
Li: 0.990 0.990 0.979
Li: 0.267 0.767 0.534
Re: 0.511 0.511 0.023
Tl: 0.732 0.232 0.464

Results
crystal system: orthorhombic
calculated total energy: -36.58 eV per atom
symmetry: Imm2

***

Compound: Li4TlRe
Source: Alexandria
Functional: SCAN
Structure: PBEsol geometry

a = 4.928 Å, b = 4.928 Å, c = 4.928 Å
α = 60.00°, β = 60.00°, γ = 60.00°
Site moments in Bohr magnetons follow the coordinates.
Element x y z (fractional)
Tl: 0.000 0.000 0.000  0.03
Re: 0.750 0.750 0.750  -0.49
Li: 0.377 0.377 0.377  0.00
Li: 0.377 0.377 0.869  0.00
Li: 0.377 0.869 0.377  0.00
Li: 0.869 0.377 0.377  0.00

Results
crystal system: cubic
calculated total energy: -25.05 eV per atom
symmetry: F-43m

***

Compound: LiRe2W
Source: Alexandria
Functional: SCAN
Structure: PBEsol geometry

a = 2.748 Å, b = 2.748 Å, c = 9.350 Å
α = 81.55°, β = 81.55°, γ = 60.00°
Element x y z (fractional)
Re: 0.247 0.247 0.258
Re: 0.753 0.753 0.742
Li: 0.000 0.000 0.000
W: 0.500 0.500 0.500

Results
crystal system: trigonal
distance to the lowest polymorph of the same formula: 4.03 kJ/mol of atoms
symmetry: R-3m

***

Repeat the ninth record exactly.
Compound: LiTlRe3
Source: Alexandria
Functional: SCAN
Structure: PBEsol geometry

a = 4.213 Å, b = 4.213 Å, c = 4.213 Å
α = 90.00°, β = 90.00°, γ = 90.00°
Element x y z (fractional)
Li: 0.000 0.000 0.000
Tl: 0.500 0.500 0.500
Re: 0.500 0.000 0.000
Re: 0.000 0.500 0.000
Re: 0.000 0.000 0.500

Results
crystal system: cubic
calculated total energy: -55.87 eV per atom
symmetry: Pm-3m